Crystalline NbZn2Si at its relaxed geometry, computed with PBE-GGA.

Computed properties:
M_tot   0.33 μB per cell
Energy   -4.282 eV/atom

a = 4.416 Å, b = 4.416 Å, c = 4.416 Å
α = 60.00°, β = 60.00°, γ = 60.00°
Site moments in Bohr magnetons follow the coordinates.
Fractional coordinates of all 4 atoms:
Nb: 0.250 0.250 0.250  0.24
Zn: 0.750 0.750 0.750  0.00
Zn: 0.000 0.000 0.000  0.00
Si: 0.500 0.500 0.500  0.01

Crystalline Nb2ZnSi at its relaxed geometry, computed with PBE-GGA.

Computed properties:
M_tot   0.01 μB per cell
Energy   -6.557 eV/atom

a = 4.498 Å, b = 4.498 Å, c = 4.498 Å
α = 60.00°, β = 60.00°, γ = 60.00°
Fractional coordinates of all 4 atoms:
Nb: 0.000 0.000 0.000
Nb: 0.750 0.750 0.750
Zn: 0.250 0.250 0.250
Si: 0.500 0.500 0.500

Crystalline NbZnSi at its relaxed geometry, computed with PBE-GGA.

Computed properties:
M_tot   0.02 μB per cell
Energy   -5.202 eV/atom

a = 4.285 Å, b = 4.285 Å, c = 4.285 Å
α = 60.00°, β = 60.00°, γ = 60.00°
Fractional coordinates of all 3 atoms:
Si: 0.250 0.250 0.250
Zn: 0.750 0.750 0.750
Nb: 0.000 0.000 0.000

Crystalline ZrNb2Si2 at its relaxed geometry, computed with PBE-GGA.

Computed properties:
Energy relative to the lowest polymorph listed for this composition   0.186 eV per atom
M_tot   0.01 μB per cell
Energy   -8.467 eV/atom

a = 6.404 Å, b = 6.404 Å, c = 6.404 Å
α = 144.35°, β = 144.35°, γ = 51.31°
Fractional coordinates of all 5 atoms:
Nb: 0.750 0.250 0.500
Nb: 0.250 0.750 0.500
Si: 0.401 0.401 0.000
Si: 0.599 0.599 0.000
Zr: 0.000 0.000 0.000

Crystalline Zr2NbSi2 at its relaxed geometry, computed with PBE-GGA.

Computed properties:
Energy relative to the lowest polymorph listed for this composition   0.669 eV per atom
M_tot   0.02 μB per cell
Energy   -7.798 eV/atom

a = 6.584 Å, b = 6.584 Å, c = 6.584 Å
α = 144.97°, β = 144.97°, γ = 50.38°
Fractional coordinates of all 5 atoms:
Zr: 0.250 0.750 0.500
Zr: 0.750 0.250 0.500
Nb: 0.000 0.000 0.000
Si: 0.594 0.594 0.000
Si: 0.406 0.406 0.000

Crystalline Zr2NbSi2 at its relaxed geometry, computed with PBE-GGA.

Computed properties:
Energy relative to the lowest polymorph listed for this composition   0.000 eV per atom
M_tot   0.01 μB per cell
Energy   -8.467 eV/atom

a = 6.897 Å, b = 6.897 Å, c = 3.753 Å
α = 90.00°, β = 90.00°, γ = 90.00°
Fractional coordinates of all 10 atoms:
Zr: 0.675 0.825 0.500
Zr: 0.175 0.675 0.500
Zr: 0.825 0.325 0.500
Zr: 0.325 0.175 0.500
Si: 0.875 0.625 0.000
Si: 0.625 0.125 0.000
Si: 0.375 0.875 0.000
Si: 0.125 0.375 0.000
Nb: 0.500 0.500 0.000
Nb: 0.000 0.000 0.000

Crystalline ZrNb2Si at its relaxed geometry, computed with PBE-GGA.

Computed properties:
M_tot   0.01 μB per cell
Energy   -8.743 eV/atom

a = 4.659 Å, b = 4.659 Å, c = 4.659 Å
α = 60.00°, β = 60.00°, γ = 60.00°
Fractional coordinates of all 4 atoms:
Nb: 0.000 0.000 0.000
Nb: 0.750 0.750 0.750
Si: 0.500 0.500 0.500
Zr: 0.250 0.250 0.250

Crystalline ZrNbSi at its relaxed geometry, computed with PBE-GGA.

Computed properties:
M_tot   0.00 μB per cell
Energy   -8.275 eV/atom

a = 4.398 Å, b = 4.398 Å, c = 4.398 Å
α = 60.00°, β = 60.00°, γ = 60.00°
Fractional coordinates of all 3 atoms:
Nb: 0.250 0.250 0.250
Si: 0.000 0.000 0.000
Zr: 0.750 0.750 0.750

Copy entry 6 word for word.
Crystalline Zr2NbSi2 at its relaxed geometry, computed with PBE-GGA.

Computed properties:
Energy relative to the lowest polymorph listed for this composition   0.000 eV per atom
M_tot   0.01 μB per cell
Energy   -8.467 eV/atom

a = 6.897 Å, b = 6.897 Å, c = 3.753 Å
α = 90.00°, β = 90.00°, γ = 90.00°
Fractional coordinates of all 10 atoms:
Zr: 0.675 0.825 0.500
Zr: 0.175 0.675 0.500
Zr: 0.825 0.325 0.500
Zr: 0.325 0.175 0.500
Si: 0.875 0.625 0.000
Si: 0.625 0.125 0.000
Si: 0.375 0.875 0.000
Si: 0.125 0.375 0.000
Nb: 0.500 0.500 0.000
Nb: 0.000 0.000 0.000

What is the energy in the fourth record? -8.467 eV/atom

The highest energy belongs to which entry? NbZn2Si

What is the energy in the eighth record? -8.275 eV/atom